Material: BaScCl2
Method: DFT, PBE
State: relaxed

Cell: 4.959 3.775 6.673 Å, 89.70 90.00 90.00°
Sites, in units of the cell vectors:
Sc (0.000, 0.375, 0.353)
Ba (0.500, 0.872, 0.738)
Cl (0.000, 0.877, 0.065)
Cl (0.500, 0.375, 0.345)

Output
* DFT total energy: -17.28 eV for the cell shown
* formation energy from raw total energies: -1.3336 eV per atom
* total magnetization: 0.44 μB per cell
* ρ: 3.37 g/cm³
* calculated volume: 31.230 A^3/atom
* DOS(E_F): 0.9436 states/eV/atom